{"formula": "HfAgPd", "functional": "PBE", "state": "relaxed", "cell": [[3.488, 0.000, 0.000], [0.000, 3.488, 0.000], [0.000, 0.000, 8.776]], "species": ["Hf", "Hf", "Ag", "Ag", "Pd", "Pd"], "fractional_positions": [[0.000, 0.000, 0.000], [0.500, 0.500, 0.500], [0.000, 0.000, 0.331], [0.000, 0.000, 0.669], [0.500, 0.500, 0.163], [0.500, 0.500, 0.837]], "formation_enthalpy_0k_ev_per_fu": -1.38, "sg": "P4/mmm (123)"}